The following is a PBE calculation of crystalline GeIr3Au at its relaxed geometry, from the Alexandria database.

## Properties
Symmetry: Pm-3m (221)
Polymorph energy (0 for the lowest one) (eV per atom): 0.000
V (A^3/atom): 18.95
DOS(E_F) (states/eV per atom): 1.940
M_tot (Bohr magnetons per cell): 1.2

POSCAR file:
```
GeIr3Au
1.0
-1.620 4.250 -0.315
-0.968 -0.695 -4.401
-4.150 -1.496 1.149
Au Ir Ge
1 3 1
Cartesian
-3.369 1.029 -1.783
-0.810 2.125 -0.157
-0.484 -0.347 -2.200
-2.075 -0.748 0.575
0.000 0.000 0.000
```

=====

The following is a PBE calculation of crystalline Ge2IrAu2 at its relaxed geometry, from the Alexandria database.

## Properties
Symmetry: P4/mbm (127)
Polymorph energy (0 for the lowest one) (eV per atom): 0.238
V (A^3/atom): 17.84
DOS(E_F) (states/eV per atom): 0.600
M_tot (Bohr magnetons per cell): 0.0

POSCAR file:
```
Ge2IrAu2
1.0
-0.187 -4.638 -5.629
-2.367 -5.288 4.436
-3.169 0.891 -0.629
Au Ge Ir
4 4 2
Cartesian
-1.667 -7.370 -2.042
-0.441 -3.669 -2.977
-2.113 -6.257 1.783
-0.887 -2.556 0.849
-2.511 -5.110 -3.518
-3.212 -3.925 1.696
-2.057 -1.987 -1.378
-3.666 -7.048 -0.444
0.000 0.000 0.000
-1.277 -4.963 -0.597
```

=====

The following is a PBE calculation of crystalline Ge2IrAu at its relaxed geometry, from the Alexandria database.

## Properties
Symmetry: Fm-3m (225)
Polymorph energy (0 for the lowest one) (eV per atom): 0.269
V (A^3/atom): 16.61
DOS(E_F) (states/eV per atom): 0.451
M_tot (Bohr magnetons per cell): 0.0

POSCAR file:
```
Ge2IrAu
1.0
4.132 -1.054 -1.575
2.801 -2.561 2.503
0.928 -4.265 -1.273
Ge Ir Au
2 1 1
Cartesian
5.896 -5.910 -0.259
1.965 -1.970 -0.086
0.000 0.000 0.000
3.931 -3.940 -0.173
```

=====

The following is a PBE calculation of crystalline Ge2IrAu at its relaxed geometry, from the Alexandria database.

## Properties
Symmetry: I-42d (122)
Polymorph energy (0 for the lowest one) (eV per atom): 0.188
V (A^3/atom): 23.14
DOS(E_F) (states/eV per atom): 0.520
M_tot (Bohr magnetons per cell): 0.0

POSCAR file:
```
Ge2IrAu
1.0
-4.209 4.034 0.225
-3.061 -3.396 3.625
-1.178 2.646 6.181
Au Ge Ir
2 4 2
Cartesian
0.000 0.000 0.000
-4.511 3.499 4.165
-3.197 2.652 2.133
-2.845 -0.851 3.845
-7.165 2.632 7.908
-3.691 2.134 6.174
-3.635 0.319 1.925
-3.937 -0.216 5.865
```

=====

The following is a PBE calculation of crystalline KGeIrAu at its relaxed geometry, from the Alexandria database.

## Properties
Symmetry: P4/nmm (129)
V (A^3/atom): 24.91
DOS(E_F) (states/eV per atom): 0.258
Final energy (eV/atom): -4.720
M_tot (Bohr magnetons per cell): 0.0

POSCAR file:
```
KGeIrAu
1.0
3.984 0.000 0.000
0.000 3.984 0.000
0.000 0.000 12.557
Ir K Ge Au
2 2 2 2
Cartesian
0.996 2.988 0.000
2.988 0.996 0.000
2.988 2.988 3.429
0.996 0.996 9.128
0.996 0.996 1.483
2.988 2.988 11.074
0.996 2.988 6.278
2.988 0.996 6.278
```

=====

The following is a PBE calculation of crystalline La2Ge3Ir4Au at its relaxed geometry, from the Alexandria database.

## Properties
Symmetry: P-4m2 (115)
V (A^3/atom): 19.52
DOS(E_F) (states/eV per atom): 0.452
Final energy (eV/atom): -6.909
M_tot (Bohr magnetons per cell): 0.0

POSCAR file:
```
La2Ge3Ir4Au
1.0
-0.668 -1.123 -4.050
2.565 -3.357 0.508
-8.431 -5.982 3.050
Ge La Ir Au
3 2 4 1
Cartesian
0.242 -2.417 0.630
-7.725 -5.805 0.648
-4.216 -2.991 1.525
-5.025 -6.154 2.536
-2.457 -2.068 -1.257
0.949 -2.240 -1.771
-5.814 -4.449 -0.043
-1.669 -3.773 1.322
0.000 0.000 0.000
-3.267 -5.231 -0.246
```